## BaMgTc2 (GGA-PBE)

Data for an optimized crystal structure of BaMgTc2.

raw total energy: -19.4 eV for the cell shown
N(E_F): 5.01 states/eV/cell
formation energy from the elements: 4.8 eV per formula unit
SG: P4/mmm
total moment: 2.4 μB per cell

a b c (Å): 4.806 4.806 3.566
angles (deg): 90.00 90.00 90.00
Fractional positions:
1 Ba 0.500 0.000 0.500
2 Mg 0.000 0.500 0.500
3 Tc 0.000 0.000 0.000
4 Tc 0.500 0.500 0.000